Computed, not measured: YInBr2 after structural relaxation at the GGA-PBE level of DFT.

## Properties
- uncorrected energy (eV per atom) = -4.117
- ΔE_f (raw) (eV per atom) = -0.98

Unit cell a=3.488 b=3.488 c=10.379 alpha=90.00 beta=90.00 gamma=90.00
Atoms (fractional coordinates):
In 0.500 0.500 0.250
Br 0.000 0.000 0.916
Br 0.000 0.000 0.584
Y 0.500 0.500 0.750

---

Computed, not measured: SmHo2TmP4 after structural relaxation at the GGA-PBE level of DFT.

## Properties
- ΔE_f (eV per atom) = -1.595
- uncorrected energy (eV per atom) = -6.593

Unit cell a=4.010 b=6.941 c=6.942 alpha=109.47 beta=90.00 gamma=90.00
Atoms (fractional coordinates):
P 0.000 0.756 0.254
Tm 0.000 0.000 0.000
P 0.000 0.244 0.746
Ho 0.000 0.500 0.500
P 0.500 0.246 0.251
P 0.500 0.754 0.749
Ho 0.500 0.000 0.500
Sm 0.500 0.500 0.000

---

Computed, not measured: BaLa2Ir after structural relaxation at the GGA-PBE level of DFT.

## Properties
- ΔE_f (eV per atom) = -0.462
- uncorrected energy (eV per atom) = -5.621

Unit cell a=4.300 b=4.300 c=10.379 alpha=78.04 beta=78.04 gamma=60.00
Atoms (fractional coordinates):
La 0.284 0.284 0.148
Ba 0.501 0.501 0.496
La 0.048 0.048 0.855
Ir 0.666 0.666 0.002

---

Computed, not measured: AsPdRhSe2 after structural relaxation at the GGA-PBE level of DFT.

## Properties
- uncorrected energy (eV per atom) = -4.281
- ΔE_f (raw) (eV per atom) = 0.55

Unit cell a=4.973 b=4.973 c=4.570 alpha=90.00 beta=90.00 gamma=90.00
Atoms (fractional coordinates):
Se 0.000 0.500 0.000
Rh 0.000 0.000 0.000
Pd 0.500 0.500 0.500
As 0.000 0.000 0.500
Se 0.500 0.000 0.000

---

Computed, not measured: VMo3 after structural relaxation at the GGA-PBE level of DFT.

## Properties
- ΔE_f (eV per atom) = 0.188
- uncorrected energy (eV per atom) = -10.215

Unit cell a=3.670 b=3.670 c=5.317 alpha=110.19 beta=110.19 gamma=90.00
Atoms (fractional coordinates):
Mo 0.500 0.500 0.000
Mo 0.250 0.750 0.500
Mo 0.750 0.250 0.500
V 0.000 0.000 0.000

---

Computed, not measured: CdNiCl2 after structural relaxation at the GGA-PBE level of DFT.

## Properties
- uncorrected energy (eV per atom) = -2.636
- ΔE_f (raw) (eV per atom) = -0.04

Unit cell a=4.935 b=4.935 c=4.954 alpha=63.28 beta=63.28 gamma=96.05
Atoms (fractional coordinates):
Cl 0.000 0.000 0.000
Ni 0.500 0.000 0.500
Cd 0.000 0.500 0.500
Cl 0.500 0.500 0.000